[1]
# CuOsI2

A relaxed structure of CuOsI2 (PBE-GGA, Alexandria).

Lattice parameters (Å, degrees): 6.021 6.021 7.330 65.75 65.75 90.00
Sites, in units of the cell vectors:
I 0.629 0.125 0.250
I 0.121 0.625 0.250
I 0.375 0.371 0.750
I 0.875 0.879 0.750
Os 0.000 0.000 0.000
Os 0.750 0.250 0.500
Cu 0.500 0.500 0.000
Cu 0.250 0.750 0.500

Output
Its space-group type is I-42d. As for the uncorrected formation energy: 888.5 meV per atom. The energy above the lowest structure with this stoichiometry comes out at 0.00 eV per formula unit.

---

[2]
# Pm5Y4Sc2

A relaxed structure of Pm5Y4Sc2 (PBE-GGA, Alexandria).

Lattice parameters (Å, degrees): 3.492 9.189 12.478 111.61 98.04 90.00
Sites, in units of the cell vectors:
Pm 0.847 0.051 0.694
Pm 0.847 0.642 0.694
Pm 0.153 0.358 0.306
Pm 0.153 0.949 0.306
Pm 0.500 0.000 0.000
Y 0.000 0.310 0.000
Y 0.600 0.600 0.200
Y 0.000 0.690 0.000
Y 0.400 0.400 0.800
Sc 0.269 0.269 0.539
Sc 0.731 0.731 0.461

Output
The calculation puts the energy of formation from the pure elements at 2.8 eV per formula unit. Its space-group type is Immm. The energy above the lowest structure with this stoichiometry comes out at 1.88 eV per formula unit.

---

[3]
# Zr2TiHgC

A relaxed structure of Zr2TiHgC (PBE-GGA, Alexandria).

Lattice parameters (Å, degrees): 4.581 4.581 4.245 90.00 90.00 90.00
Site moments in Bohr magnetons follow the coordinates.
Sites, in units of the cell vectors:
C 0.000 0.000 0.000  -0.01
Hg 0.500 0.500 0.500  -0.01
Zr 0.000 0.500 0.000  0.06
Zr 0.500 0.000 0.000  0.06
Ti 0.000 0.000 0.500  0.36

Output
The calculation puts the energy of formation from the pure elements at -2.4 eV per formula unit. Its space-group type is P4/mmm.

---

[4]
# Ca2YAl

A relaxed structure of Ca2YAl (PBE-GGA, Alexandria).

Lattice parameters (Å, degrees): 4.094 4.094 7.301 90.00 90.00 90.00
Sites, in units of the cell vectors:
Y 0.500 0.500 0.250
Ca 0.000 0.000 0.975
Ca 0.000 0.000 0.525
Al 0.500 0.500 0.750

Output
The calculation puts the energy of formation from the pure elements at 0.1 eV per formula unit. Its space-group type is P4/mmm.

---

[5]
# Y2CuSiIr

A relaxed structure of Y2CuSiIr (PBE-GGA, Alexandria).

Lattice parameters (Å, degrees): 5.324 4.158 5.324 90.00 90.00 90.00
Sites, in units of the cell vectors:
Y 0.000 0.000 0.500
Y 0.500 0.000 0.000
Si 0.000 0.000 0.000
Ir 0.500 0.500 0.500
Cu 0.000 0.500 0.000

Output
Its space-group type is P4/mmm. As for the uncorrected formation energy: 158.9 meV per atom.

---

[6]
# Ca2NiBrN

A relaxed structure of Ca2NiBrN (PBE-GGA, Alexandria).

Lattice parameters (Å, degrees): 5.089 5.089 3.646 90.00 90.00 90.00
Sites, in units of the cell vectors:
Ni 0.000 0.000 0.500
Ca 0.000 0.500 0.000
Ca 0.500 0.000 0.000
Br 0.500 0.500 0.500
N 0.000 0.000 0.000

Output
Its space-group type is P4/mmm. As for the uncorrected formation energy: -898.6 meV per atom.

---

[7]
# Mg4TaHg

A relaxed structure of Mg4TaHg (PBE-GGA, Alexandria).

Lattice parameters (Å, degrees): 5.635 5.635 5.635 60.00 60.00 60.00
Site moments in Bohr magnetons follow the coordinates.
Sites, in units of the cell vectors:
Mg 0.872 0.376 0.376  0.00
Mg 0.376 0.376 0.872  0.00
Mg 0.376 0.872 0.376  0.00
Mg 0.376 0.376 0.376  0.00
Ta 0.750 0.750 0.750  1.29
Hg 0.000 0.000 0.000  0.01

Output
The calculation puts the energy of formation from the pure elements at 3.1 eV per formula unit. Its space-group type is F-43m.

---

[8]
# LaHI3

A relaxed structure of LaHI3 (PBE-GGA, Alexandria).

Lattice parameters (Å, degrees): 5.216 5.216 5.216 90.00 90.00 90.00
Sites, in units of the cell vectors:
I 0.000 0.500 0.000
I 0.000 0.000 0.500
I 0.500 0.000 0.000
H 0.000 0.000 0.000
La 0.500 0.500 0.500

Output
Its space-group type is Pm-3m. The energy above the lowest structure with this stoichiometry comes out at 4.55 eV per formula unit.

---

[9]
# Ca2Tb4Ge3O2

A relaxed structure of Ca2Tb4Ge3O2 (PBE-GGA, Alexandria).

Lattice parameters (Å, degrees): 4.653 4.653 12.240 100.96 100.96 90.00
Sites, in units of the cell vectors:
Ca 0.300 0.300 0.599
Ca 0.700 0.700 0.401
Tb 0.415 0.915 0.830
Tb 0.915 0.415 0.830
Tb 0.085 0.585 0.170
Tb 0.585 0.085 0.170
Ge 0.000 0.000 0.000
Ge 0.169 0.169 0.339
Ge 0.831 0.831 0.661
O 0.404 0.404 0.809
O 0.596 0.596 0.191

Output
Its space-group type is I4/mmm. As for the uncorrected formation energy: -1559.1 meV per atom.

---

[10]
# LaFe2Cl

A relaxed structure of LaFe2Cl (PBE-GGA, Alexandria).

Lattice parameters (Å, degrees): 5.472 3.441 4.456 90.04 90.00 90.00
Site moments in Bohr magnetons follow the coordinates.
Sites, in units of the cell vectors:
Cl 0.500 0.750 0.750  0.03
Fe 0.000 0.991 0.060  2.67
Fe 0.000 0.509 0.440  2.67
La 0.500 0.250 0.250  -0.22

Output
Its space-group type is P2/m. As for the uncorrected formation energy: -4.0 meV per atom. The energy above the lowest structure with this stoichiometry comes out at 0.82 eV per formula unit.

---

[11]
# Mg3C2

A relaxed structure of Mg3C2 (PBE-GGA, Alexandria).

Lattice parameters (Å, degrees): 3.761 3.761 5.371 90.00 90.00 120.00
Sites, in units of the cell vectors:
Mg 0.000 0.000 0.000
Mg 0.667 0.333 0.670
Mg 0.333 0.667 0.330
C 0.667 0.333 0.228
C 0.333 0.667 0.772

Output
The calculation puts the energy of formation from the pure elements at 3.5 eV per formula unit. Its space-group type is P-3m1. The energy above the lowest structure with this stoichiometry comes out at 0.00 eV per formula unit.

---

[12]
# ErMg14Sc

A relaxed structure of ErMg14Sc (PBE-GGA, Alexandria).

Lattice parameters (Å, degrees): 6.896 6.896 7.844 90.00 90.00 90.00
Sites, in units of the cell vectors:
Er 0.375 0.375 0.500
Mg 0.875 0.875 0.000
Mg 0.375 0.375 0.000
Mg 0.875 0.375 0.500
Mg 0.875 0.375 0.000
Mg 0.375 0.875 0.500
Mg 0.375 0.875 0.000
Mg 0.629 0.121 0.245
Mg 0.629 0.121 0.755
Mg 0.121 0.629 0.245
Mg 0.121 0.629 0.755
Mg 0.629 0.629 0.245
Mg 0.629 0.629 0.755
Mg 0.121 0.121 0.245
Mg 0.121 0.121 0.755
Sc 0.875 0.875 0.500

Output
The calculation puts the energy of formation from the pure elements at -0.2 eV per formula unit. Its space-group type is P4/mmm.

---

[13]
# LiSiMo2

A relaxed structure of LiSiMo2 (PBE-GGA, Alexandria).

Lattice parameters (Å, degrees): 4.298 4.298 4.298 119.76 119.76 90.42
Sites, in units of the cell vectors:
Li 0.750 0.250 0.500
Mo 0.000 0.000 0.000
Mo 0.250 0.750 0.500
Si 0.500 0.500 0.000

Output
Its space-group type is I-4m2. As for the uncorrected formation energy: -70.5 meV per atom.

---

[14]
# LiCdOs2

A relaxed structure of LiCdOs2 (PBE-GGA, Alexandria).

Lattice parameters (Å, degrees): 2.701 2.701 9.470 90.00 90.00 116.68
Sites, in units of the cell vectors:
Cd 0.500 0.500 0.250
Li 0.500 0.500 0.750
Os 0.000 0.000 0.989
Os 0.000 0.000 0.511

Output
The calculation puts the energy of formation from the pure elements at 2.1 eV per formula unit. Its space-group type is Cmmm.

---

[15]
# NbHgOF2

A relaxed structure of NbHgOF2 (PBE-GGA, Alexandria).

Lattice parameters (Å, degrees): 4.511 4.511 4.283 90.00 90.00 90.00
Site moments in Bohr magnetons follow the coordinates.
Sites, in units of the cell vectors:
Nb 0.500 0.500 0.500  2.67
Hg 0.000 0.000 0.000  -0.03
O 0.000 0.000 0.500  -0.12
F 0.000 0.500 0.000  0.00
F 0.500 0.000 0.000  0.00

Output
Its space-group type is P4/mmm. As for the uncorrected formation energy: -142.4 meV per atom. The energy above the lowest structure with this stoichiometry comes out at 8.52 eV per formula unit.

---

[16]
# LaCdGa

A relaxed structure of LaCdGa (PBE-GGA, Alexandria).

Lattice parameters (Å, degrees): 4.904 4.904 4.904 60.00 60.00 60.00
Sites, in units of the cell vectors:
Cd 0.000 0.000 0.000
Ga 0.250 0.250 0.250
La 0.500 0.500 0.500

Output
The calculation puts the energy of formation from the pure elements at -1.4 eV per formula unit. Its space-group type is F-43m.

---

[17]
# Ca

A relaxed structure of Ca (PBE-GGA, Alexandria).

Lattice parameters (Å, degrees): 7.485 7.485 3.965 90.00 90.00 129.44
Sites, in units of the cell vectors:
Ca 0.867 0.133 0.000
Ca 0.133 0.867 0.000
Ca 0.367 0.633 0.500
Ca 0.633 0.367 0.500

Output
The calculation puts the energy of formation from the pure elements at 0.1 eV per formula unit. Its space-group type is Fmmm. The energy above the lowest structure with this stoichiometry comes out at 0.13 eV per formula unit.

---

[18]
# ZrSc3Ta

A relaxed structure of ZrSc3Ta (PBE-GGA, Alexandria).

Lattice parameters (Å, degrees): 5.074 5.074 5.074 90.00 90.00 90.00
Sites, in units of the cell vectors:
Sc 0.000 0.500 0.000
Sc 0.000 0.000 0.500
Sc 0.500 0.000 0.000
Zr 0.500 0.500 0.500
Ta 0.000 0.000 0.000

Output
The calculation puts the energy of formation from the pure elements at 4.1 eV per formula unit. Its space-group type is Pm-3m. The energy above the lowest structure with this stoichiometry comes out at 0.00 eV per formula unit.

---

[19]
# Pr8GaIr3Br4

A relaxed structure of Pr8GaIr3Br4 (PBE-GGA, Alexandria).

Lattice parameters (Å, degrees): 8.497 9.196 8.496 117.52 120.01 90.00
Sites, in units of the cell vectors:
Pr 0.240 0.698 0.959
Pr 0.239 0.698 0.479
Pr 0.267 0.300 0.533
Pr 0.719 0.698 0.959
Pr 0.281 0.302 0.041
Pr 0.733 0.700 0.467
Pr 0.761 0.302 0.521
Pr 0.760 0.302 0.041
Ga 0.000 0.500 0.000
Ir 0.500 0.500 0.000
Ir 0.500 0.500 0.500
Ir 0.000 0.500 0.500
Br 0.500 0.000 0.000
Br 0.500 0.000 0.500
Br 0.000 0.000 0.000
Br 0.000 0.000 0.500

Output
Its space-group type is R-3m. As for the uncorrected formation energy: -1013.0 meV per atom.

---

[20]
# TaAgPb2

A relaxed structure of TaAgPb2 (PBE-GGA, Alexandria).

Lattice parameters (Å, degrees): 5.804 5.804 5.804 144.00 126.11 66.53
Sites, in units of the cell vectors:
Pb 0.000 0.000 0.000
Pb 0.500 0.500 0.000
Ag 0.250 0.750 0.500
Ta 0.750 0.250 0.500

Output
The calculation puts the energy of formation from the pure elements at 2.7 eV per formula unit. Its space-group type is Immm. The energy above the lowest structure with this stoichiometry comes out at 1.34 eV per formula unit.

---

Short version: D(E_F) = 4.539, 19.194, 3.308, 3.335, 3.466, 3.418, 4.194, 5.320, 2.560, 4.111, 3.518, 6.698, 2.584, 2.579, 9.629, 0.503, 6.112, 8.173, 12.979, 3.280 states/eV/cell, in the order given.
Short version: V = 108.16, 368.02, 89.09, 122.36, 117.85, 94.44, 126.51, 141.88, 255.26, 83.89, 65.80, 373.00, 56.36, 61.75, 87.17, 83.37, 42.89, 130.60, 486.25, 91.55 Å³/f.u., in the order given.